First-principles (PBE) data for a relaxed CsSrIrCl6 crystal, as listed in Alexandria via LeMat-Bulk.

a b c (Å): 6.9821 6.9821 7.6329
angles (deg): 90.00 90.00 120.00
Fractional positions:
Cs1 0.0000 0.0000 0.0000
Sr1 0.3333 0.6667 0.5000
Ir1 0.6667 0.3333 0.5000
Cl1 0.3937 0.0569 0.6852
Cl2 0.3937 0.3368 0.3148
Cl3 0.6632 0.0569 0.3148
Cl4 0.6632 0.6063 0.6852
Cl5 0.9431 0.3368 0.6852
Cl6 0.9431 0.6063 0.3148

First-principles (PBE) data for a relaxed Cs2SrIrCl6 crystal, as listed in Alexandria via LeMat-Bulk.

a b c (Å): 7.5380 7.5380 7.5380
angles (deg): 119.04 119.04 91.67
Fractional positions:
Cs1 0.2500 0.7500 0.5000
Cs2 0.7500 0.2500 0.5000
Sr1 0.0000 0.0000 0.0000
Ir1 0.5000 0.5000 0.0000
Cl1 0.2646 0.2646 0.5292
Cl2 0.2646 0.7354 0.0000
Cl3 0.2741 0.2741 0.0000
Cl4 0.7259 0.7259 0.0000
Cl5 0.7354 0.2646 0.0000
Cl6 0.7354 0.7354 0.4708

First-principles (PBE) data for a relaxed Cs2TeIrCl6 crystal, as listed in Alexandria via LeMat-Bulk.

a b c (Å): 7.4926 7.4926 7.4926
angles (deg): 117.60 117.60 94.21
Fractional positions:
Cs1 0.2500 0.7500 0.5000
Cs2 0.7500 0.2500 0.5000
Te1 0.0000 0.0000 0.0000
Ir1 0.5000 0.5000 0.0000
Cl1 0.2635 0.2635 0.0000
Cl2 0.2814 0.2814 0.5628
Cl3 0.2814 0.7186 0.0000
Cl4 0.7186 0.2814 0.0000
Cl5 0.7186 0.7186 0.4372
Cl6 0.7365 0.7365 0.0000

First-principles (PBE) data for a relaxed CsTl2IrCl8 crystal, as listed in Alexandria via LeMat-Bulk.

a b c (Å): 6.1571 7.1931 9.3699
angles (deg): 90.02 90.13 113.40
Fractional positions:
Cs1 0.0000 0.0000 0.0000
Tl1 0.0023 0.5007 0.2487
Tl2 0.9977 0.4993 0.7513
Ir1 0.0000 0.0000 0.5000
Cl1 0.2251 0.8066 0.5012
Cl2 0.2414 0.2188 0.6757
Cl3 0.2428 0.2179 0.3252
Cl4 0.2939 0.6705 0.9996
Cl5 0.7061 0.3295 0.0004
Cl6 0.7572 0.7821 0.6748
Cl7 0.7586 0.7812 0.3243
Cl8 0.7749 0.1934 0.4988

First-principles (PBE) data for a relaxed Cs2VIrCl6 crystal, as listed in Alexandria via LeMat-Bulk.

a b c (Å): 7.1342 7.1342 7.1342
angles (deg): 119.90 119.90 90.18
Fractional positions:
Cs1 0.2500 0.7500 0.5000
Cs2 0.7500 0.2500 0.5000
V1 0.0000 0.0000 0.0000
Ir1 0.5000 0.5000 0.0000
Cl1 0.2503 0.2503 0.5006
Cl2 0.2503 0.7497 0.0000
Cl3 0.2523 0.2523 0.0000
Cl4 0.7477 0.7477 0.0000
Cl5 0.7497 0.2503 0.0000
Cl6 0.7497 0.7497 0.4994

First-principles (PBE) data for a relaxed Cs2ZnIrCl6 crystal, as listed in Alexandria via LeMat-Bulk.

a b c (Å): 7.1751 7.1751 7.1751
angles (deg): 117.35 117.35 94.65
Fractional positions:
Cs1 0.2500 0.7500 0.5000
Cs2 0.7500 0.2500 0.5000
Zn1 0.0000 0.0000 0.0000
Ir1 0.5000 0.5000 0.0000
Cl1 0.2413 0.2413 0.0000
Cl2 0.2722 0.2722 0.5444
Cl3 0.2722 0.7278 0.0000
Cl4 0.7278 0.2722 0.0000
Cl5 0.7278 0.7278 0.4556
Cl6 0.7587 0.7587 0.0000

First-principles (PBE) data for a relaxed Cs2ZrIrCl6 crystal, as listed in Alexandria via LeMat-Bulk.

a b c (Å): 7.5700 7.5700 7.5700
angles (deg): 112.98 112.98 102.67
Fractional positions:
Cs1 0.2500 0.7500 0.5000
Cs2 0.7500 0.2500 0.5000
Zr1 0.0000 0.0000 0.0000
Ir1 0.5000 0.5000 0.0000
Cl1 0.2131 0.2131 0.4263
Cl2 0.2131 0.7869 0.0000
Cl3 0.2614 0.2614 0.0000
Cl4 0.7386 0.7386 0.0000
Cl5 0.7869 0.2131 0.0000
Cl6 0.7869 0.7869 0.5737

First-principles (PBE) data for a relaxed CsK3Cl crystal, as listed in Alexandria via LeMat-Bulk.

a b c (Å): 8.2726 8.2726 8.2726
angles (deg): 90.00 90.00 90.00
Fractional positions:
Cs1 0.0000 0.0000 0.0000
K1 0.0000 0.0000 0.5000
K2 0.0000 0.5000 0.0000
K3 0.5000 0.0000 0.0000
Cl1 0.5000 0.5000 0.5000

## Properties
Its energy above the most stable polymorph in this dataset is 681 meV per atom.

First-principles (PBE) data for a relaxed Cs2K2Cl crystal, as listed in Alexandria via LeMat-Bulk.

a b c (Å): 9.3163 9.3163 9.0772
angles (deg): 90.00 90.00 90.00
Fractional positions:
Cs1 0.1977 0.3023 0.0000
Cs2 0.3023 0.8023 0.0000
Cs3 0.6977 0.1977 0.0000
Cs4 0.8023 0.6977 0.0000
K1 0.1681 0.6681 0.5000
K2 0.3319 0.1681 0.5000
K3 0.6681 0.8319 0.5000
K4 0.8319 0.3319 0.5000
Cl1 0.0000 0.0000 0.0000
Cl2 0.5000 0.5000 0.0000

## Properties
Its energy above the most stable polymorph in this dataset is 0 meV per atom.

First-principles (PBE) data for a relaxed CsK3Cl crystal, as listed in Alexandria via LeMat-Bulk.

a b c (Å): 6.7690 6.7690 6.7690
angles (deg): 90.00 90.00 90.00
Fractional positions:
Cs1 0.0000 0.0000 0.0000
K1 0.0000 0.5000 0.5000
K2 0.5000 0.0000 0.5000
K3 0.5000 0.5000 0.0000
Cl1 0.5000 0.5000 0.5000

## Properties
Its energy above the most stable polymorph in this dataset is 0 meV per atom.

First-principles (PBE) data for a relaxed Cs4KCl5 crystal, as listed in Alexandria via LeMat-Bulk.

a b c (Å): 13.0059 13.0059 13.0059
angles (deg): 158.35 148.97 38.16
Fractional positions:
Cs1 0.0985 0.0985 0.0000
Cs2 0.3048 0.3048 0.0000
Cs3 0.6952 0.6952 0.0000
Cs4 0.9015 0.9015 0.0000
K1 0.5000 0.5000 0.0000
Cl1 0.0000 0.5000 0.5000
Cl2 0.2020 0.7020 0.5000
Cl3 0.4111 0.9111 0.5000
Cl4 0.5889 0.0889 0.5000
Cl5 0.7980 0.2980 0.5000

First-principles (PBE) data for a relaxed CsK4Cl5 crystal, as listed in Alexandria via LeMat-Bulk.

a b c (Å): 12.2367 12.2367 12.2367
angles (deg): 158.38 148.86 38.23
Fractional positions:
Cs1 0.0000 0.0000 0.0000
K1 0.2049 0.2049 0.0000
K2 0.3956 0.3956 0.0000
K3 0.6044 0.6044 0.0000
K4 0.7951 0.7951 0.0000
Cl1 0.1109 0.6109 0.5000
Cl2 0.3011 0.8011 0.5000
Cl3 0.5000 0.0000 0.5000
Cl4 0.6989 0.1989 0.5000
Cl5 0.8891 0.3891 0.5000

## Properties
Its energy above the most stable polymorph in this dataset is 0 meV per atom.

| no. | total magnetic moment (μB/cell) | raw formation energy (eV/atom) |
| --- | --- | --- |
| 1 | 0.0 | -1.474 |
| 2 | 1.0 | -1.479 |
| 3 | 0.0 | -0.926 |
| 4 | 0.0 | -0.874 |
| 5 | 4.0 | -1.053 |
| 6 | 0.0 | -1.090 |
| 7 | 1.0 | -1.247 |
| 8 | 0.9 | 0.027 |
| 9 | 0.0 | -0.649 |
| 10 | 0.0 | -0.654 |
| 11 | 0.1 | -1.954 |
| 12 | 0.0 | -1.945 |